SbSNCl2 | meta-GGA SCAN | single point on PBEsol structure

CIF file:
```
data_SbSNCl2
_chemical_formula_sum 'Sb1 S1 N1 Cl2'
_cell_length_a 4.250
_cell_length_b 4.250
_cell_length_c 4.604
_cell_angle_alpha 90.00
_cell_angle_beta 90.00
_cell_angle_gamma 90.00
_symmetry_space_group_name_H-M 'P 4/m m m'
_symmetry_Int_Tables_number 123
_symmetry_space_group_name_Hall '-P 4 2'
loop_
_atom_site_label
_atom_site_type_symbol
_atom_site_fract_x
_atom_site_fract_y
_atom_site_fract_z
_atom_site_occupancy
Sb1 Sb 0.000 0.000 0.000 1
S1 S 0.500 0.500 0.000 1
N1 N 0.500 0.500 0.500 1
Cl1 Cl 0.000 0.500 0.500 1
```

## Properties
D(E_F) in states/eV/f.u.: 1.998
Raw formation energy in kJ/mol of atoms: 87.3

***

SbS2NCl6 | meta-GGA SCAN | single point on PBEsol structure

CIF file:
```
data_SbS2NCl6
_chemical_formula_sum 'Sb2 S4 N2 Cl12'
_cell_length_a 6.958
_cell_length_b 7.840
_cell_length_c 9.465
_cell_angle_alpha 90.00
_cell_angle_beta 90.00
_cell_angle_gamma 90.00
_symmetry_space_group_name_H-M 'I m m m'
_symmetry_Int_Tables_number 71
_symmetry_space_group_name_Hall '-I 2 2'
loop_
_atom_site_label
_atom_site_type_symbol
_atom_site_fract_x
_atom_site_fract_y
_atom_site_fract_z
_atom_site_occupancy
Sb1 Sb 0.000 0.000 0.000 1
S1 S 0.000 0.191 0.500 1
N1 N 0.000 0.000 0.500 1
Cl1 Cl 0.000 0.304 0.000 1
Cl2 Cl 0.246 0.000 0.177 1
```

## Properties
D(E_F) in states/eV/f.u.: 0.000
Raw formation energy in kJ/mol of atoms: -38.7

***

ScSNCl2 | meta-GGA SCAN | single point on PBEsol structure

CIF file:
```
data_ScSNCl2
_chemical_formula_sum 'Sc1 S1 N1 Cl2'
_cell_length_a 4.175
_cell_length_b 4.175
_cell_length_c 4.449
_cell_angle_alpha 90.00
_cell_angle_beta 90.00
_cell_angle_gamma 90.00
_symmetry_space_group_name_H-M 'P 4/m m m'
_symmetry_Int_Tables_number 123
_symmetry_space_group_name_Hall '-P 4 2'
loop_
_atom_site_label
_atom_site_type_symbol
_atom_site_fract_x
_atom_site_fract_y
_atom_site_fract_z
_atom_site_occupancy
Sc1 Sc 0.000 0.000 0.000 1
S1 S 0.500 0.500 0.000 1
N1 N 0.500 0.500 0.500 1
Cl1 Cl 0.000 0.500 0.500 1
```

## Properties
D(E_F) in states/eV/f.u.: 3.065
Raw formation energy in kJ/mol of atoms: 16.8

***

- raw formation energy of number 1 (SbSNCl2)?
  87.3 kJ/mol of atoms